# K3TiSe3 (PBE-GGA, relaxed)
# M_tot in μB per cell: 0.00
# E in eV/atom: -4.306
# Raw formation energy in meV/atom: -1214
data_K3TiSe3
_chemical_formula_sum 'K12 Ti4 Se12'
_space_group_name_H-M_alt 'P 1 21/c 1'
_space_group_IT_number 14
_cell_length_a 9.007
_cell_length_b 8.149
_cell_length_c 13.067
_cell_angle_alpha 90.00
_cell_angle_beta 99.76
_cell_angle_gamma 90.00
loop_
_space_group_symop_operation_xyz
'x,y,z'
'-x,-y,-z'
'-x,y+1/2,-z+1/2'
'x,-y+1/2,z+1/2'
loop_
_atom_site_label
_atom_site_type_symbol
_atom_site_fract_x
_atom_site_fract_y
_atom_site_fract_z
K1 K 0.091 0.148 0.130
K2 K 0.301 0.734 0.787
K3 K 0.399 0.239 0.918
Ti1 Ti 0.157 0.571 0.043
Se1 Se 0.072 0.065 0.372
Se2 Se 0.242 0.648 0.518
Se3 Se 0.362 0.076 0.651